TcHgH2: optimized geometry, PBE.

Computed properties:
calculated density = 10.821 Mg/m³
uncorrected energy = -61.29 eV for the cell shown
SG = I-42d

Cell and atoms, written as CIF:
```
data_TcHgH2
_chemical_formula_sum 'Tc4 Hg4 H8'
_cell_length_a 4.1261
_cell_length_b 4.1261
_cell_length_c 10.8376
_cell_angle_alpha 90.00
_cell_angle_beta 90.00
_cell_angle_gamma 90.00
_symmetry_space_group_name_H-M 'P 1'
_symmetry_Int_Tables_number 1
loop_
_symmetry_equiv_pos_as_xyz
'x,y,z'
loop_
_atom_site_label
_atom_site_fract_x
_atom_site_fract_y
_atom_site_fract_z
Tc1 0.0000 0.0000 0.0000
Tc2 0.0000 0.5000 0.2500
Tc3 0.5000 0.0000 0.7500
Tc4 0.5000 0.5000 0.5000
Hg1 0.0000 0.0000 0.5000
Hg2 0.0000 0.5000 0.7500
Hg3 0.5000 0.0000 0.2500
Hg4 0.5000 0.5000 0.0000
H1 0.0920 0.2500 0.1250
H2 0.2500 0.5920 0.3750
H3 0.2500 0.9080 0.8750
H4 0.4080 0.2500 0.6250
H5 0.5920 0.7500 0.6250
H6 0.7500 0.0920 0.8750
H7 0.7500 0.4080 0.3750
H8 0.9080 0.7500 0.1250
```